7
Lattice="3.898 0.000 0.000 0.000 6.847 -0.023 -1.949 -2.175 5.594" Properties=species:S:1:pos:R:3 comment="Dy3As2O2 PBE optimized geometry" e_form_raw_kcal_per_mol_atoms=-52.07 pbc="T T T"
Dy 0.000 3.424 -0.011
Dy 0.000 3.633 3.487
Dy 1.949 1.039 2.084
As 1.949 5.051 1.319
As 0.000 -0.378 4.252
O 1.949 2.605 3.786
O 0.000 2.067 1.785

---

32
Lattice="-1.003 -4.371 -4.962 -0.883 -5.315 4.860 -8.861 1.869 0.434" Properties=species:S:1:pos:R:3 comment="Dy2AsO5 PBE optimized geometry" e_form_raw_kcal_per_mol_atoms=-61.40 pbc="T T T"
Dy -1.714 -7.802 0.657
Dy -0.988 -4.267 1.904
Dy -4.242 -5.784 2.179
Dy -4.557 -6.841 -1.334
Dy -6.190 -0.976 1.666
Dy -6.505 -2.034 -1.847
Dy -9.759 -3.550 -1.571
Dy -9.033 -0.015 -0.324
As -3.594 -3.287 0.001
As -3.844 -3.961 -3.861
As -6.903 -3.856 4.194
As -7.153 -4.531 0.331
O -2.134 -4.622 -3.912
O -2.313 -7.058 -1.432
O -1.824 -3.593 -0.374
O -2.042 -6.264 2.322
O -3.960 -7.470 0.743
O -3.810 -1.128 1.551
O -3.213 -3.806 1.872
O -4.298 -4.914 -0.165
O -4.187 -2.560 -1.620
O -4.144 -4.824 4.233
O -6.603 -2.994 -3.900
O -6.560 -5.257 1.952
O -6.449 -2.904 0.497
O -7.534 -4.011 -1.540
O -6.937 -6.689 -1.218
O -6.787 -0.347 -0.411
O -8.705 -1.554 -1.989
O -8.923 -4.225 0.706
O -8.434 -0.759 1.764
O -8.613 -3.195 4.245